Entry 1:
The following is a GGA-PBE calculation of Zr2AlCu after structural relaxation, from Alexandria via LeMat-Bulk.

Cell: 2.9615 2.9615 10.4302 Å, 90.00 90.00 120.00°
Fractional positions:
Zr  0.0000  0.0000  0.2353
Zr  0.0000  0.0000  0.7647
Al  0.3333  0.6667  0.0000
Cu  0.0000  0.0000  0.5000


Entry 2:
The following is a GGA-PBE calculation of Zr4AlCu after structural relaxation, from Alexandria via LeMat-Bulk.

Cell: 6.8607 6.8607 5.1482 Å, 90.00 90.00 90.00°
Fractional positions:
Zr  0.1500  0.3418  0.0000
Zr  0.1500  0.6582  0.5000
Zr  0.3418  0.1500  0.5000
Zr  0.3418  0.8500  0.0000
Zr  0.6582  0.1500  0.0000
Zr  0.6582  0.8500  0.5000
Zr  0.8500  0.3418  0.5000
Zr  0.8500  0.6582  0.0000
Al  0.5000  0.5000  0.2500
Al  0.5000  0.5000  0.7500
Cu  0.0000  0.0000  0.2500
Cu  0.0000  0.0000  0.7500

Results
offset from the most stable computed form	0.101	eV per formula unit


Entry 3:
The following is a GGA-PBE calculation of ZrAl3Cu after structural relaxation, from Alexandria via LeMat-Bulk.

Cell: 5.1911 5.1911 5.1911 Å, 90.00 90.00 90.00°
Fractional positions:
Zr  0.0000  0.0000  0.0000
Al  0.0000  0.0000  0.5000
Al  0.0000  0.5000  0.0000
Al  0.5000  0.0000  0.0000
Cu  0.5000  0.5000  0.5000

Results
offset from the most stable computed form	7.587	eV per formula unit


no.,D(E_F) (states/eV per cell),formation energy (meV/atom)
1,2.712,200
2,17.943,-204
3,3.501,1237